[1]
# LiCa6Ga5

A relaxed structure of LiCa6Ga5 (PBE, Alexandria).

## Properties
Its magnetization is 0.00 μB per formula unit. The mass density is 3.3 g cm⁻³. The calculation puts the calculated volume at 303.5 Å³/cell. The symmetry is No. 10. For the formation energy from the elements, the calculation gives -0.382 eV/atom.

The structure in POSCAR format:
```
LiCa6Ga5
1.0
5.204 0.000 0.000
0.000 7.448 0.000
-2.569 0.000 7.830
Li Ca Ga
1 6 5
direct
0.000 0.000 0.000 Li
0.170 0.253 0.340 Ca
0.170 0.747 0.340 Ca
0.500 0.260 0.000 Ca
0.500 0.740 0.000 Ca
0.830 0.253 0.660 Ca
0.830 0.747 0.660 Ca
0.000 0.500 0.000 Ga
0.334 0.500 0.667 Ga
0.338 0.000 0.679 Ga
0.662 0.000 0.321 Ga
0.666 0.500 0.333 Ga
```

***

[2]
# ZrZn2Ag

A relaxed structure of ZrZn2Ag (PBE, Alexandria).

## Properties
Its magnetization is 0.00 μB per formula unit. The mass density is 7.6 g cm⁻³. The calculation puts the calculated volume at 72.1 Å³/cell. The symmetry is No. 12. For the formation energy from the elements, the calculation gives -0.040 eV/atom.

The structure in POSCAR format:
```
ZrZn2Ag
1.0
4.411 -1.520 0.000
4.411 1.520 0.000
-1.077 0.000 5.379
Zr Zn Ag
1 2 1
direct
0.000 0.000 0.000 Zr
0.245 0.245 0.720 Zn
0.755 0.755 0.280 Zn
0.500 0.500 0.500 Ag
```